# NbPdW2O

A geometry-optimized NbPdW2O structure (PBE with a Hubbard U, Alexandria).

Output
As for the crystal system: tetragonal. For the total DFT energy (no corrections), the calculation gives -29.44 eV for the cell shown.

Cell lengths 5.3637, 5.3637, 3.8368 Å; angles 90.00, 90.00, 90.00 degrees
Space group P4/mmm (No. 123)
One atom of each set of equivalent atoms:
Nb: 0.0000 0.0000 0.0000
Pd: 0.5000 0.5000 0.5000
W: 0.0000 0.5000 0.0000
O: 0.0000 0.0000 0.5000